Record 1
Here is crystalline La3BiN at its relaxed geometry from the Alexandria database. Energies are from PBE.

- uncorrected energy (eV per cell) = -63.06
- D(E_F) (states/eV/atom) = 0.706
- energy relative to the elements, uncorrected (eV/atom) = -0.908

Lattice parameters (Å, degrees): 5.4684 7.5536 7.1321 90.00 103.26 90.00
Last column: nearest neighbours and their distance in Å.
Fractional positions:
La (0.0234, 0.2500, 0.0768)  2 N 2.73-2.76
La (0.4192, 0.0130, 0.7594)  2 N 2.41-2.67
La (0.4192, 0.4870, 0.7594)  2 N 2.41-2.67
La (0.5808, 0.5130, 0.2406)  2 N 2.41-2.67
La (0.5808, 0.9870, 0.2406)  2 N 2.41-2.67
La (0.9766, 0.7500, 0.9232)  2 N 2.73-2.76
Bi (0.1209, 0.7500, 0.3888)  7 La 3.23-3.44
Bi (0.8791, 0.2500, 0.6112)  7 La 3.23-3.44
N (0.4890, 0.7500, 0.9546)  4 La 2.41-2.67
N (0.5110, 0.2500, 0.0454)  4 La 2.41-2.67



Record 2
Here is crystalline ScBe2TlF8 at its relaxed geometry from the Alexandria database. Energies are from PBE.

- uncorrected energy (eV per cell) = -70.35
- D(E_F) (states/eV/atom) = 0.000
- energy relative to the elements, uncorrected (eV/atom) = -3.269

Lattice parameters (Å, degrees): 8.5950 8.5950 8.5950 34.15 34.15 34.15
Last column: nearest neighbours and their distance in Å.
Fractional positions:
Sc (0.0000, 0.0000, 0.0000)  6 F 2.03
Be (0.2591, 0.2591, 0.2591)  4 F 1.50-1.59
Be (0.7409, 0.7409, 0.7409)  4 F 1.50-1.59
Tl (0.5000, 0.5000, 0.5000)  6 F 3.01
F (0.0187, 0.5963, 0.2366)  1 Be 1.59
F (0.1974, 0.1974, 0.1974)  1 Be 1.50
F (0.2366, 0.0187, 0.5963)  1 Be 1.59
F (0.4037, 0.7634, 0.9813)  1 Be 1.59
F (0.5963, 0.2366, 0.0187)  1 Be 1.59
F (0.7634, 0.9813, 0.4037)  1 Be 1.59
F (0.8026, 0.8026, 0.8026)  1 Be 1.50
F (0.9813, 0.4037, 0.7634)  1 Be 1.59



Record 3
Here is crystalline Ac9Sm2Ho at its relaxed geometry from the Alexandria database. Energies are from PBE.

- uncorrected energy (eV per cell) = -50.63
- D(E_F) (states/eV/atom) = 1.550
- ΔE_f (kJ/mol of atoms) = 3

Lattice parameters (Å, degrees): 5.5013 5.5013 16.5163 90.00 90.00 90.00
Last column: nearest neighbours and their distance in Å.
Fractional positions:
Ac (0.0000, 0.0000, 0.0000)  8 Ac 3.88, 4 Ho 3.89
Ac (0.0000, 0.0000, 0.3328)  4 Sm 3.89, 8 Ac 3.90
Ac (0.0000, 0.0000, 0.6672)  4 Sm 3.89, 8 Ac 3.90
Ac (0.0000, 0.5000, 0.1655)  2 Ho 3.88, 8 Ac 3.88-3.90, 2 Sm 3.90
Ac (0.0000, 0.5000, 0.5000)  8 Ac 3.89-3.90, 4 Sm 3.90
Ac (0.0000, 0.5000, 0.8345)  2 Ho 3.88, 8 Ac 3.88-3.90, 2 Sm 3.90
Ac (0.5000, 0.0000, 0.1655)  2 Ho 3.88, 8 Ac 3.88-3.90, 2 Sm 3.90
Ac (0.5000, 0.0000, 0.5000)  8 Ac 3.89-3.90, 4 Sm 3.90
Ac (0.5000, 0.0000, 0.8345)  2 Ho 3.88, 8 Ac 3.88-3.90, 2 Sm 3.90
Sm (0.5000, 0.5000, 0.3327)  12 Ac 3.89-3.90
Sm (0.5000, 0.5000, 0.6673)  12 Ac 3.89-3.90
Ho (0.5000, 0.5000, 0.0000)  12 Ac 3.88-3.89



Record 4
Here is crystalline LiLa2As at its relaxed geometry from the Alexandria database. Energies are from PBE.

- uncorrected energy (eV per cell) = -35.81
- D(E_F) (states/eV/atom) = 1.291
- ΔE_f (kJ/mol of atoms) = -36

Lattice parameters (Å, degrees): 6.7506 6.7506 6.7506 103.19 103.19 122.94
Last column: nearest neighbours and their distance in Å.
Fractional positions:
Li (0.0000, 0.0000, 0.0000)  4 La 3.16, 2 As 3.22
Li (0.7500, 0.2500, 0.5000)  4 La 3.16, 2 As 3.22
La (0.1403, 0.6250, 0.0153)  2 As 2.99, 2 Li 3.16, 2 La 3.23
La (0.3750, 0.3903, 0.5153)  2 As 2.99, 2 Li 3.16, 2 La 3.23
La (0.6097, 0.1250, 0.9847)  2 As 2.99, 2 Li 3.16, 2 La 3.23
La (0.8750, 0.8597, 0.4847)  2 As 2.99, 2 Li 3.16, 2 La 3.23
As (0.2500, 0.7500, 0.5000)  4 La 2.99, 2 Li 3.22
As (0.5000, 0.5000, 0.0000)  4 La 2.99, 2 Li 3.22